Entry from the Alexandria database: a geometry-optimized Sr3Ta2MoO9 structure (PBE with a Hubbard U).

Results
Calculated density   6.995 g/cm³
Magnetic moment   1.991 μB per formula unit
DFT total energy   -8.123 eV/atom
Symmetry   P-3m1

Cell: 5.7767 5.7767 7.1029 Å, 90.00 90.00 120.00°
Each line ends with the local moment (μB).
Positions (direct):
Sr 0.3333 0.6667 0.6603  -0.01
Sr 0.0000 0.0000 0.0000  -0.01
Sr 0.6667 0.3333 0.3397  -0.01
Ta 0.3333 0.6667 0.1672  -0.26
Ta 0.6667 0.3333 0.8328  -0.26
Mo 0.0000 0.0000 0.5000  2.43
O 0.8293 0.1707 0.6751  0.02
O 0.8293 0.6586 0.6751  0.02
O 0.3414 0.1707 0.6751  0.02
O 0.6586 0.8293 0.3249  0.02
O 0.1707 0.3414 0.3249  0.02
O 0.1707 0.8293 0.3249  0.02
O 0.5000 0.0000 0.0000  0.01
O 0.0000 0.5000 0.0000  0.01
O 0.5000 0.5000 0.0000  0.01